DFT (PBE) results for a relaxed structure of TiAgPdF6.

Properties
- DFT total energy: -5.21 eV per atom
- Symmetry: P4_2nm, No. 102
- Total magnetization: 1.00 μB/f.u.
- N(E_F): 0.44 states/eV/atom

a b c (Å): 5.1816 5.1816 10.5893
angles (deg): 90.00 90.00 90.00
Last column: magnetic moment on the atom in μB.
Positions (direct):
Ti  0.5000  0.5000  0.8344  0.00
Ti  0.0000  0.0000  0.3344  0.00
Ag  0.5000  0.5000  0.1704  0.00
Ag  0.0000  0.0000  0.6704  0.00
Pd  0.5000  0.5000  0.4848  0.87
Pd  0.0000  0.0000  0.9848  0.87
F  0.1870  0.8130  0.4651  0.03
F  0.8130  0.1870  0.4651  0.03
F  0.3130  0.3130  0.9651  0.03
F  0.6870  0.6870  0.9651  0.03
F  0.1768  0.8232  0.2044  0.01
F  0.8232  0.1768  0.2044  0.01
F  0.3232  0.3232  0.7044  0.01
F  0.6768  0.6768  0.7044  0.01
F  0.7566  0.2434  0.8356  0.01
F  0.2434  0.7566  0.8356  0.01
F  0.7434  0.7434  0.3356  0.01
F  0.2566  0.2566  0.3356  0.01